No. 1
CsZrP2SeS6 PBE-GGA relaxed; total energy = -56.52 eV per cell; crystal system = monoclinic
1.0
4.549 -4.935 0.000
4.549 4.935 0.000
-1.063 0.000 6.937
Cs P S Se Zr
1 2 6 1 1
direct
0.089 0.911 0.000
0.641 0.960 0.412
0.040 0.359 0.588
0.594 0.703 0.219
0.545 0.199 0.273
0.114 0.481 0.345
0.519 0.886 0.655
0.801 0.455 0.727
0.297 0.406 0.781
0.989 0.011 0.500
0.489 0.511 0.500

=====

No. 2
CsLuAl PBE-GGA relaxed; crystal system = cubic; relative energy among the computed polymorphs = 0.0000 eV/atom
1.0
-2.067 -4.658 1.782
-1.716 -0.415 5.102
-5.282 -0.383 1.049
Al Cs Lu
1 1 1
direct
0.250 0.250 0.250
0.750 0.750 0.750
0.000 0.000 0.000

=====

No. 3
Lu2SnPd PBE-GGA relaxed; total energy = -19.69 eV per cell; crystal system = cubic
1.0
2.679 -3.975 -1.537
0.344 -4.085 2.921
-2.344 -4.251 -1.332
Lu Pd Sn
2 1 1
direct
0.000 0.000 0.000
0.750 0.750 0.750
0.250 0.250 0.250
0.500 0.500 0.500

=====

No. 4
Gd2Zn2SbAsO2 PBE-GGA relaxed; total energy = -44.50 eV per cell; crystal system = tetragonal
1.0
-2.896 -2.242 -1.674
2.387 -3.237 0.208
-3.316 -1.912 8.295
As Gd O Sb Zn
1 2 2 1 2
direct
0.000 0.000 0.311
0.500 0.500 0.128
0.000 0.000 0.889
0.500 0.000 0.008
0.000 0.500 0.008
0.500 0.500 0.684
0.500 0.000 0.486
0.000 0.500 0.486

=====

No. 5
SrCdNiSe3 PBE-GGA relaxed; crystal system = orthorhombic; relative energy among the computed polymorphs = 0.1179 eV/atom
1.0
-5.334 4.703 -0.924
4.564 -3.078 4.595
6.731 7.278 -1.810
Cd Ni Se Sr
2 2 6 2
direct
0.521 0.479 0.250
0.479 0.521 0.750
0.000 0.000 0.000
0.000 0.000 0.500
0.630 0.370 0.038
0.906 0.094 0.250
0.630 0.370 0.462
0.370 0.630 0.538
0.094 0.906 0.750
0.370 0.630 0.962
0.235 0.765 0.250
0.765 0.235 0.750

=====

No. 6
CdTcAsO PBE-GGA relaxed; crystal system = orthorhombic; relative energy among the computed polymorphs = 0.1837 eV/atom
1.0
3.928 0.000 0.000
0.000 4.986 0.000
0.000 0.000 6.527
As Cd O Tc
2 2 2 2
direct
0.000 0.846 0.292
0.000 0.154 0.792
0.500 0.193 0.090
0.500 0.807 0.590
0.500 0.355 0.435
0.500 0.645 0.935
0.000 0.354 0.436
0.000 0.646 0.936

=====

No. 7
Dy2Y5Hg PBE-GGA relaxed; calculated formation energy = -0.036 eV/atom; crystal system = orthorhombic
1.0
-4.831 -1.941 1.961
2.214 1.176 6.620
-1.254 6.244 3.090
Dy Hg Y
2 1 5
direct
0.500 0.330 0.330
0.000 0.671 0.671
0.000 0.166 0.166
0.000 0.670 0.158
0.500 0.840 0.331
0.000 0.158 0.670
0.500 0.833 0.833
0.500 0.331 0.840

=====

No. 8
TmInHgTe3 PBE-GGA relaxed; crystal system = orthorhombic; relative energy among the computed polymorphs = 0.0390 eV/atom
1.0
-8.442 8.056 0.997
-2.963 -2.895 -1.698
-2.963 -4.747 13.261
Hg In Te Tm
4 4 12 4
direct
0.241 0.750 0.212
0.741 0.750 0.288
0.259 0.250 0.712
0.759 0.250 0.788
0.216 0.250 0.009
0.716 0.250 0.491
0.284 0.750 0.509
0.784 0.750 0.991
0.437 0.750 0.100
0.029 0.750 0.115
0.731 0.250 0.161
0.231 0.250 0.339
0.529 0.750 0.385
0.937 0.750 0.400
0.063 0.250 0.600
0.471 0.250 0.615
0.769 0.750 0.661
0.269 0.750 0.839
0.971 0.250 0.885
0.563 0.250 0.900
0.477 0.250 0.243
0.977 0.250 0.257
0.023 0.750 0.743
0.523 0.750 0.757

=====

No. 9
ZrBeAg PBE-GGA relaxed; crystal system = cubic; relative energy among the computed polymorphs = 0.9532 eV/atom
1.0
-3.115 -2.477 1.936
-3.604 1.916 1.710
-3.933 -0.539 -1.958
Ag Be Zr
1 1 1
direct
0.250 0.250 0.250
0.750 0.750 0.750
0.000 0.000 0.000

=====

No. 10
Cu15Si4 PBE-GGA relaxed; total energy = -157.62 eV per cell; crystal system = cubic
1.0
-4.843 -4.843 -4.843
-4.843 4.843 4.843
4.843 4.843 -4.843
Cu Si
30 8
direct
0.427 0.202 0.051
0.775 0.624 0.073
0.573 0.775 0.124
0.250 0.375 0.125
0.376 0.949 0.151
0.927 0.051 0.202
0.798 0.349 0.225
0.125 0.875 0.250
0.624 0.573 0.275
0.349 0.725 0.298
0.298 0.225 0.349
0.750 0.125 0.375
0.151 0.449 0.376
0.051 0.702 0.427
0.651 0.376 0.449
0.702 0.927 0.551
0.124 0.275 0.573
0.275 0.073 0.624
0.875 0.750 0.625
0.449 0.876 0.651
0.551 0.427 0.702
0.849 0.298 0.725
0.375 0.625 0.750
0.073 0.124 0.775
0.225 0.849 0.798
0.725 0.798 0.849
0.625 0.250 0.875
0.949 0.651 0.876
0.202 0.551 0.927
0.876 0.151 0.949
0.089 0.000 0.000
0.589 0.000 0.000
0.000 0.500 0.089
0.911 0.911 0.411
0.500 0.089 0.500
0.500 0.589 0.500
0.000 0.500 0.589
0.411 0.411 0.911

=====

No. 11
HoNbAs PBE-GGA relaxed; total energy = -17.27 eV per cell; crystal system = cubic
1.0
0.000 3.396 3.396
3.396 0.000 3.396
3.396 3.396 0.000
As Ho Nb
1 1 1
direct
0.250 0.250 0.250
0.000 0.000 0.000
0.750 0.750 0.750

=====

No. 12
Li4Al2HgPd PBE-GGA relaxed; total energy = -23.91 eV per cell; crystal system = tetragonal
1.0
4.374 0.000 0.000
0.000 4.374 0.000
0.000 0.000 6.293
Al Hg Li Pd
2 1 4 1
direct
0.500 0.000 0.222
0.000 0.500 0.778
0.500 0.500 0.500
0.500 0.500 0.000
0.000 0.500 0.241
0.000 0.000 0.500
0.500 0.000 0.759
0.000 0.000 0.000

=====

No. 13
Ag3As2O8 PBE-GGA relaxed; total energy = -65.56 eV per cell; crystal system = triclinic
1.0
5.202 0.000 0.000
2.101 5.333 0.000
0.966 2.157 6.266
Ag As O
3 2 8
direct
0.262 0.228 0.338
0.738 0.773 0.663
0.000 0.000 0.000
0.630 0.644 0.221
0.371 0.355 0.779
0.211 0.234 0.025
0.309 0.654 0.170
0.648 0.869 0.333
0.799 0.326 0.366
0.200 0.674 0.634
0.353 0.130 0.667
0.691 0.346 0.830
0.789 0.767 0.974

=====

No. 14
ErZnIn PBE-GGA relaxed; total energy = -9.68 eV per cell; crystal system = cubic
1.0
0.000 3.288 3.288
3.288 0.000 3.288
3.288 3.288 0.000
Er In Zn
1 1 1
direct
0.250 0.250 0.250
0.750 0.750 0.750
0.000 0.000 0.000

=====

No. 15
CuAg4 PBE-GGA relaxed; calculated formation energy = 0.058 eV/atom; crystal system = monoclinic; relative energy among the computed polymorphs = 0.0337 eV/atom
1.0
-5.798 -0.484 4.913
-2.766 -2.519 6.633
2.437 5.002 1.622
Ag Cu
8 2
direct
0.300 0.300 0.145
0.500 0.500 0.239
0.697 0.697 0.343
0.900 0.900 0.449
0.100 0.100 0.551
0.303 0.303 0.657
0.500 0.500 0.761
0.700 0.700 0.855
0.097 0.097 0.048
0.903 0.903 0.952

=====

No. 16
AlZnPt PBE-GGA relaxed; total energy = -12.95 eV per cell; crystal system = cubic
1.0
-1.633 -2.276 3.135
-3.121 1.575 2.336
-3.884 -1.572 -0.345
Al Pt Zn
1 1 1
direct
0.250 0.250 0.250
0.000 0.000 0.000
0.750 0.750 0.750

=====

No. 17
NdSmZr2Sb2 PBE-GGA relaxed; total energy = -39.73 eV per cell; crystal system = tetragonal
1.0
1.855 4.868 7.391
-3.074 7.179 4.558
-1.205 -7.856 -4.312
Nd Sb Sm Zr
1 2 1 2
direct
0.322 0.322 0.000
0.129 0.129 0.000
0.871 0.871 0.000
0.676 0.676 0.000
0.500 0.000 0.500
0.000 0.500 0.500

=====

No. 18
PmTcB4 PBE-GGA relaxed; crystal system = orthorhombic; relative energy among the computed polymorphs = 0.0997 eV/atom
1.0
-1.591 2.720 3.681
1.591 -2.720 3.681
1.591 2.720 -3.681
B Pm Tc
4 1 1
direct
0.584 0.246 0.337
0.091 0.754 0.337
0.909 0.246 0.663
0.416 0.754 0.663
0.000 0.000 0.000
0.500 0.500 0.000

=====

No. 19
GdHo2Al3AgGe2 PBE-GGA relaxed; total energy = -42.66 eV per cell; crystal system = orthorhombic
1.0
-0.649 -0.211 -4.238
4.994 -4.960 -0.519
-6.722 -1.833 1.121
Ag Al Gd Ge Ho
1 3 1 2 2
direct
0.000 0.005 0.005
0.500 0.239 0.239
0.500 0.000 0.761
0.500 0.761 0.000
0.000 0.585 0.585
0.500 0.667 0.331
0.500 0.331 0.667
0.000 0.999 0.414
0.000 0.414 0.999

=====

No. 20
YSnHg2 PBE-GGA relaxed; total energy = -12.76 eV per cell; crystal system = tetragonal
1.0
-1.171 -1.685 4.004
-3.516 -2.067 -1.899
2.737 -3.889 -0.836
Hg Sn Y
2 1 1
direct
0.500 0.000 0.000
0.000 0.500 0.000
0.500 0.500 0.500
0.000 0.000 0.500